## NaSmTiO4 (PBE-GGA)

Data for a relaxed NaSmTiO4 crystal.

Calculated values
The symmetry is No. 129. As for the formation energy (no corrections): -2.953 eV/atom.

Lattice parameters (Å, degrees): 3.7396 3.7396 13.0301 90.00 90.00 90.00
Atoms (fractional coordinates):
Na 0.5000 0.0000 0.5825
Na 0.0000 0.5000 0.4175
Sm 0.0000 0.5000 0.1068
Sm 0.5000 0.0000 0.8932
Ti 0.5000 0.0000 0.2686
Ti 0.0000 0.5000 0.7314
O 0.0000 0.5000 0.9322
O 0.5000 0.0000 0.0678
O 0.0000 0.5000 0.5956
O 0.5000 0.0000 0.4044
O 0.0000 0.0000 0.2303
O 0.5000 0.5000 0.2303
O 0.0000 0.0000 0.7697
O 0.5000 0.5000 0.7697

***

## Y2InI2 (PBE-GGA)

Data for a relaxed Y2InI2 crystal.

Calculated values
The symmetry is No. 139. As for the formation energy (no corrections): -0.341 eV/atom.

Lattice parameters (Å, degrees): 4.8868 4.8868 8.0812 72.40 72.40 90.00
Atoms (fractional coordinates):
I 0.7500 0.2500 0.5000
I 0.2500 0.7500 0.5000
Y 0.3869 0.3869 0.2263
Y 0.6131 0.6131 0.7737
In 0.0000 0.0000 0.0000

***

## Ac2HoMnSe6 (PBE-GGA)

Data for a relaxed Ac2HoMnSe6 crystal.

Calculated values
The symmetry is No. 14. As for the formation energy (no corrections): -1.579 eV/atom.

Lattice parameters (Å, degrees): 6.9690 7.8133 10.1040 90.00 90.85 90.00
Atoms (fractional coordinates):
Ac 0.0386 0.8970 0.2467
Ac 0.5386 0.6030 0.7467
Ac 0.9614 0.1030 0.7533
Ac 0.4614 0.3970 0.2533
Ho 0.5000 0.0000 0.0000
Ho 0.0000 0.5000 0.5000
Mn 0.5000 0.0000 0.5000
Mn 0.0000 0.5000 0.0000
Se 0.3092 0.6757 0.0497
Se 0.8092 0.8243 0.5497
Se 0.6908 0.3243 0.9503
Se 0.1908 0.1757 0.4503
Se 0.3268 0.6894 0.4449
Se 0.8268 0.8106 0.9449
Se 0.6732 0.3106 0.5551
Se 0.1732 0.1894 0.0551
Se 0.8892 0.5200 0.2342
Se 0.3892 0.9800 0.7342
Se 0.1108 0.4800 0.7658
Se 0.6108 0.0200 0.2658

***

## Ac6NiRh (PBE-GGA)

Data for a relaxed Ac6NiRh crystal.

Calculated values
The symmetry is No. 148. The calculation puts the formation energy at -0.241 eV per atom.

Lattice parameters (Å, degrees): 7.2639 7.2625 8.0669 63.24 63.26 59.99
Atoms (fractional coordinates):
Ac 0.0855 0.4133 0.7521
Ac 0.7488 0.0850 0.7524
Ac 0.5867 0.2514 0.2474
Ac 0.2512 0.9150 0.2476
Ac 0.9145 0.5867 0.2479
Ac 0.4133 0.7486 0.7526
Ni 0.0000 0.0000 0.0000
Rh 0.5000 0.5000 0.5000

***

## CoB3C (PBE-GGA)

Data for a relaxed CoB3C crystal.

Calculated values
The symmetry is No. 221. The calculation puts the formation energy at 2.053 eV per atom.

Lattice parameters (Å, degrees): 3.7127 3.7127 3.7127 90.00 90.00 90.00
Atoms (fractional coordinates):
C 0.5000 0.5000 0.5000
B 0.0000 0.5000 0.0000
B 0.0000 0.0000 0.5000
B 0.5000 0.0000 0.0000
Co 0.0000 0.0000 0.0000

***

## Sc2CrIn (PBE-GGA)

Data for a relaxed Sc2CrIn crystal.

Calculated values
The symmetry is No. 119. The calculation puts the formation energy at -0.010 eV per atom.

Lattice parameters (Å, degrees): 5.3436 5.3436 5.3436 132.11 132.11 70.05
Atoms (fractional coordinates):
Cr 0.5000 0.5000 0.0000
In 0.7500 0.2500 0.5000
Sc 0.0000 0.0000 0.0000
Sc 0.2500 0.7500 0.5000

***

## YNb2Al (PBE-GGA)

Data for a relaxed YNb2Al crystal.

Calculated values
The symmetry is No. 122. The calculation puts the formation energy at 0.469 eV per atom.

Lattice parameters (Å, degrees): 7.8926 7.8926 6.2345 50.73 50.73 90.00
Atoms (fractional coordinates):
Y 0.0000 0.0000 0.0000
Y 0.7500 0.2500 0.5000
Nb 0.5858 0.1250 0.2500
Nb 0.1642 0.6250 0.2500
Nb 0.3750 0.4142 0.7500
Nb 0.8750 0.8358 0.7500
Al 0.5000 0.5000 0.0000
Al 0.2500 0.7500 0.5000

***

## Cd2AsPt (PBE-GGA)

Data for a relaxed Cd2AsPt crystal.

Calculated values
The symmetry is No. 65. The calculation puts the formation energy at -0.049 eV per atom.

Lattice parameters (Å, degrees): 5.1104 5.1104 3.0687 90.00 90.00 109.27
Atoms (fractional coordinates):
As 0.0000 0.5000 0.5000
Pt 0.5000 0.0000 0.5000
Cd 0.0000 0.0000 0.0000
Cd 0.5000 0.5000 0.0000

***

## CaCePd4 (PBE-GGA)

Data for a relaxed CaCePd4 crystal.

Calculated values
The symmetry is No. 216. The calculation puts the formation energy at -0.695 eV per atom.

Lattice parameters (Å, degrees): 5.4847 5.4847 5.4847 60.00 60.00 60.00
Atoms (fractional coordinates):
Ca 0.2500 0.2500 0.2500
Pd 0.6248 0.6248 0.1255
Pd 0.6248 0.1255 0.6248
Pd 0.6248 0.6248 0.6248
Pd 0.1255 0.6248 0.6248
Ce 0.0000 0.0000 0.0000